No. 1
BaSr2Te | GGA-PBE | relaxed

Results
- Space-group type: P2/m, No. 10

Structure (CIF):
```
data_BaSr2Te
_chemical_formula_sum 'Ba1 Sr2 Te1'
_cell_length_a 4.477
_cell_length_b 7.608
_cell_length_c 7.616
_cell_angle_alpha 56.06
_cell_angle_beta 90.00
_cell_angle_gamma 90.00
_symmetry_space_group_name_H-M 'P 1'
_symmetry_Int_Tables_number 1
_symmetry_space_group_name_Hall 'P 1'
loop_
_atom_site_label
_atom_site_fract_x
_atom_site_fract_y
_atom_site_fract_z
Ba1 0.500 0.750 0.750
Sr1 0.000 0.072 0.071
Sr2 0.000 0.428 0.429
Te1 0.500 0.250 0.250
```

***

No. 2
BaSr2Te | GGA-PBE | relaxed

Results
- Space-group type: R3m, No. 160

Structure (CIF):
```
data_BaSr2Te
_chemical_formula_sum 'Ba1 Sr2 Te1'
_cell_length_a 11.830
_cell_length_b 11.830
_cell_length_c 11.830
_cell_angle_alpha 22.29
_cell_angle_beta 22.29
_cell_angle_gamma 22.29
_symmetry_space_group_name_H-M 'P 1'
_symmetry_Int_Tables_number 1
_symmetry_space_group_name_Hall 'P 1'
loop_
_atom_site_label
_atom_site_fract_x
_atom_site_fract_y
_atom_site_fract_z
Ba1 0.772 0.772 0.772
Sr1 0.997 0.997 0.997
Sr2 0.227 0.227 0.227
Te1 0.503 0.503 0.503
```

***

Number 1: V 215.2 Å³/f.u., total energy -2.796 eV/atom. Number 2: V 208.9 Å³/f.u., total energy -2.865 eV/atom.